This record from Alexandria via LeMat-Bulk describes a relaxed structure of Ni6Pt16Rh7. The functional is GGA-PBE.

Values from the calculation:
- calculated formation energy (kJ per mole of atoms) = 31
- crystal system = cubic
- D(E_F) (states/eV/f.u.) = 52.65
- volume (A^3/atom) = 16.1

a b c (Å): 8.717 8.717 8.717
angles (deg): 60.00 60.00 60.00
Fractional positions:
Ni 0.150 0.150 0.850
Ni 0.150 0.850 0.150
Ni 0.150 0.850 0.850
Ni 0.850 0.150 0.150
Ni 0.850 0.150 0.850
Ni 0.850 0.850 0.150
Pt 0.133 0.622 0.622
Pt 0.150 0.150 0.150
Pt 0.150 0.150 0.551
Pt 0.150 0.551 0.150
Pt 0.378 0.378 0.378
Pt 0.378 0.378 0.867
Pt 0.378 0.867 0.378
Pt 0.449 0.850 0.850
Pt 0.551 0.150 0.150
Pt 0.622 0.133 0.622
Pt 0.622 0.622 0.133
Pt 0.622 0.622 0.622
Pt 0.850 0.449 0.850
Pt 0.850 0.850 0.449
Pt 0.850 0.850 0.850
Pt 0.867 0.378 0.378
Rh 0.000 0.000 0.500
Rh 0.000 0.500 0.000
Rh 0.000 0.500 0.500
Rh 0.500 0.000 0.000
Rh 0.500 0.000 0.500
Rh 0.500 0.500 0.000
Rh 0.500 0.500 0.500